[1]
# AgAs2Se (PBE, optimized geometry)
data_AgAs2Se
_chemical_formula_sum 'Ag4 As8 Se4'
_symmetry_space_group_name_H-M 'I -4 2 d'
_symmetry_Int_Tables_number 122
_symmetry_space_group_name_Hall 'I -4 2bw'
_cell_length_a 5.8610
_cell_length_b 5.8610
_cell_length_c 12.5630
_cell_angle_alpha 90.00
_cell_angle_beta 90.00
_cell_angle_gamma 90.00
loop_
_atom_site_label
_atom_site_fract_x
_atom_site_fract_y
_atom_site_fract_z
Ag1 0.0000 0.0000 0.0000
As1 0.2408 0.2500 0.1250
Se1 0.0000 0.0000 0.5000
# - raw total energy (eV per cell) = -57.18
# - raw formation energy (meV per atom) = 335
# - size of the total moment (μB/f.u.) = 0.00


[2]
# Mg3Pa3NiN8 (PBE, optimized geometry)
data_Mg3Pa3NiN8
_chemical_formula_sum 'Mg6 Pa6 Ni2 N16'
_symmetry_space_group_name_H-M 'C 1 2/m 1'
_symmetry_Int_Tables_number 12
_cell_length_a 10.9166
_cell_length_b 6.7508
_cell_length_c 6.4828
_cell_angle_alpha 90.00
_cell_angle_beta 122.60
_cell_angle_gamma 90.00
loop_
_symmetry_equiv_pos_as_xyz
'x,y,z'
'-x,-y,-z'
'-x,y,-z'
'x,-y,z'
'x+1/2,y+1/2,z'
'-x+1/2,-y+1/2,-z'
'-x+1/2,y+1/2,-z'
'x+1/2,-y+1/2,z'
loop_
_atom_site_label
_atom_site_fract_x
_atom_site_fract_y
_atom_site_fract_z
Mg1 0.0000 0.0000 0.0000
Mg2 0.2500 0.2500 0.5000
Pa1 0.0000 0.5000 0.5000
Pa2 0.2500 0.2500 0.0000
Ni1 0.0000 0.0000 0.5000
N1 0.0063 0.2439 0.7392
N2 0.2257 0.0000 0.7336
N3 0.2487 0.0000 0.2495
# - raw total energy (eV per cell) = -237.83
# - raw formation energy (meV per atom) = -884
# - size of the total moment (μB/f.u.) = 0.96


[3]
# RuBr2 (PBE, optimized geometry)
data_RuBr2
_chemical_formula_sum 'Ru1 Br2'
_symmetry_space_group_name_H-M 'P 6/m m m'
_symmetry_Int_Tables_number 191
_symmetry_space_group_name_Hall '-P 6 2'
_cell_length_a 5.8029
_cell_length_b 5.8029
_cell_length_c 2.6815
_cell_angle_alpha 90.00
_cell_angle_beta 90.00
_cell_angle_gamma 120.00
loop_
_atom_site_label
_atom_site_fract_x
_atom_site_fract_y
_atom_site_fract_z
Ru1 0.0000 0.0000 0.0000
Br1 0.3333 0.6667 0.5000
# - raw total energy (eV per cell) = -8.71
# - raw formation energy (meV per atom) = 1303
# - size of the total moment (μB/f.u.) = 3.03


[4]
# Pa2Si3 (PBE, optimized geometry)
data_Pa2Si3
_chemical_formula_sum 'Pa4 Si6'
_symmetry_space_group_name_H-M 'I m m m'
_symmetry_Int_Tables_number 71
_symmetry_space_group_name_Hall '-I 2 2'
_cell_length_a 3.7851
_cell_length_b 5.9203
_cell_length_c 8.6921
_cell_angle_alpha 90.00
_cell_angle_beta 90.00
_cell_angle_gamma 90.00
loop_
_atom_site_label
_atom_site_fract_x
_atom_site_fract_y
_atom_site_fract_z
Pa1 0.0000 0.0000 0.2291
Si1 0.0000 0.2995 0.5000
Si2 0.0000 0.5000 0.0000
# - raw total energy (eV per cell) = -75.24
# - raw formation energy (meV per atom) = -471
# - size of the total moment (μB/f.u.) = 0.00


[5]
# TaAs3P (PBE, optimized geometry)
data_TaAs3P
_chemical_formula_sum 'Ta1 As3 P1'
_symmetry_space_group_name_H-M 'P m -3 m'
_symmetry_Int_Tables_number 221
_symmetry_space_group_name_Hall '-P 4 2 3'
_cell_length_a 4.6220
_cell_length_b 4.6220
_cell_length_c 4.6220
_cell_angle_alpha 90.00
_cell_angle_beta 90.00
_cell_angle_gamma 90.00
loop_
_atom_site_label
_atom_site_fract_x
_atom_site_fract_y
_atom_site_fract_z
Ta1 0.0000 0.0000 0.0000
As1 0.0000 0.5000 0.5000
P1 0.5000 0.5000 0.5000
# - raw total energy (eV per cell) = -26.40
# - ΔH_f (0 K) (eV/atom) = 0.9614
# - size of the total moment (μB/f.u.) = 0.00


[6]
# Rb2HgF4 (PBE, optimized geometry)
data_Rb2HgF4
_chemical_formula_sum 'Rb4 Hg2 F8'
_symmetry_space_group_name_H-M 'I 4/m m m'
_symmetry_Int_Tables_number 139
_symmetry_space_group_name_Hall '-I 4 2'
_cell_length_a 4.6743
_cell_length_b 4.6743
_cell_length_c 13.9492
_cell_angle_alpha 90.00
_cell_angle_beta 90.00
_cell_angle_gamma 90.00
loop_
_atom_site_label
_atom_site_fract_x
_atom_site_fract_y
_atom_site_fract_z
Rb1 0.0000 0.0000 0.1416
Hg1 0.0000 0.0000 0.5000
F1 0.0000 0.0000 0.3366
F2 0.0000 0.5000 0.0000
# - raw total energy (eV per cell) = -50.13
# - raw formation energy (meV per atom) = -2192
# - size of the total moment (μB/f.u.) = 0.00


[7]
# V2Ni2Os (PBE, optimized geometry)
data_V2Ni2Os
_chemical_formula_sum 'V4 Ni4 Os2'
_symmetry_space_group_name_H-M 'P 4/m b m'
_symmetry_Int_Tables_number 127
_symmetry_space_group_name_Hall '-P 4 2ab'
_cell_length_a 6.5837
_cell_length_b 6.5837
_cell_length_c 2.9001
_cell_angle_alpha 90.00
_cell_angle_beta 90.00
_cell_angle_gamma 90.00
loop_
_atom_site_label
_atom_site_fract_x
_atom_site_fract_y
_atom_site_fract_z
V1 0.1795 0.3205 0.0000
Ni1 0.1235 0.6235 0.5000
Os1 0.0000 0.0000 0.5000
# - raw total energy (eV per cell) = -82.84
# - ΔH_f (0 K) (eV/atom) = -0.0776
# - size of the total moment (μB/f.u.) = 0.00


[8]
# Nd4Tl2As (PBE, optimized geometry)
data_Nd4Tl2As
_chemical_formula_sum 'Nd16 Tl8 As4'
_symmetry_space_group_name_H-M 'C m c m'
_symmetry_Int_Tables_number 63
_symmetry_space_group_name_Hall '-C 2c 2'
_cell_length_a 4.2504
_cell_length_b 11.1628
_cell_length_c 18.1267
_cell_angle_alpha 90.00
_cell_angle_beta 90.00
_cell_angle_gamma 90.00
loop_
_atom_site_label
_atom_site_fract_x
_atom_site_fract_y
_atom_site_fract_z
Nd1 0.0000 0.0000 0.0000
Nd2 0.0000 0.3342 0.2500
Nd3 0.0000 0.3804 0.6417
Tl1 0.0000 0.3050 0.0611
As1 0.0000 0.0485 0.2500
# - raw total energy (eV per cell) = -127.60
# - ΔH_f (0 K) (eV/atom) = -0.4923
# - size of the total moment (μB/f.u.) = 0.00


- Number 5 is which compound?
  TaAs3P